# CaEuMgBi | the Alexandria database | PBE | optimized geometry
data_CaEuMgBi
_cell_length_a 5.642
_cell_length_b 5.642
_cell_length_c 5.642
_cell_angle_alpha 60.00
_cell_angle_beta 60.00
_cell_angle_gamma 60.00
_symmetry_space_group_name_H-M 'P 1'
_symmetry_Int_Tables_number 1
loop_
_symmetry_equiv_pos_as_xyz
'x,y,z'
loop_
_atom_site_label
_atom_site_type_symbol
_atom_site_fract_x
_atom_site_fract_y
_atom_site_fract_z
Eu1 Eu 0.250 0.250 0.250
Ca1 Ca 0.750 0.750 0.750
Mg1 Mg 0.000 0.000 0.000
Bi1 Bi 0.500 0.500 0.500
# **DFT formation energy**: -0.43 eV/atom


Density functional theory data (PBE) for a relaxed structure of Cs2LiZnSi.

The structure in CIF format:
```
data_Cs2LiZnSi
_cell_length_a 6.811
_cell_length_b 5.109
_cell_length_c 6.811
_cell_angle_alpha 90.00
_cell_angle_beta 90.00
_cell_angle_gamma 90.00
_symmetry_space_group_name_H-M 'P 1'
_symmetry_Int_Tables_number 1
loop_
_symmetry_equiv_pos_as_xyz
'x,y,z'
loop_
_atom_site_label
_atom_site_type_symbol
_atom_site_fract_x
_atom_site_fract_y
_atom_site_fract_z
Cs1 Cs 0.000 0.000 0.500
Cs2 Cs 0.500 0.000 0.000
Zn1 Zn 0.000 0.500 0.000
Si1 Si 0.500 0.500 0.500
Li1 Li 0.000 0.000 0.000
```


Density functional theory data (PBE) for a relaxed structure of Y2AuI.

The structure in CIF format:
```
data_Y2AuI
_cell_length_a 4.107
_cell_length_b 4.107
_cell_length_c 8.479
_cell_angle_alpha 75.99
_cell_angle_beta 75.99
_cell_angle_gamma 60.00
_symmetry_space_group_name_H-M 'P 1'
_symmetry_Int_Tables_number 1
loop_
_symmetry_equiv_pos_as_xyz
'x,y,z'
loop_
_atom_site_label
_atom_site_type_symbol
_atom_site_fract_x
_atom_site_fract_y
_atom_site_fract_z
Y1 Y 0.068 0.068 0.797
Y2 Y 0.266 0.266 0.202
Au1 Au 0.668 0.668 0.997
I1 I 0.499 0.499 0.504
```


Number 1: total magnetic moment 7.8 μB per formula unit, E_tot -4.868 eV per atom. Number 2: total magnetic moment 2.3 μB per formula unit, E_tot -1.429 eV per atom. Number 3: total magnetic moment 0.0 μB per formula unit, E_tot -5.244 eV per atom.